Record 1
The following is a PBE calculation of PmSm2VN4 after structural relaxation, from the Alexandria database.

a = 3.4339 Å, b = 6.1696 Å, c = 12.0783 Å
α = 90.00°, β = 90.00°, γ = 106.16°
Last column: nearest neighbours and their distance in Å.
Positions (direct):
V  0.1755  0.3509  0.2500  2 N 1.80
V  0.8245  0.6491  0.7500  2 N 1.80
N  0.0000  0.0000  0.0000  4 Sm 2.37
N  0.7327  0.4654  0.8684  1 V 1.80
N  0.7327  0.4654  0.6316  1 V 1.80
N  0.0000  0.0000  0.5000  4 Sm 2.37
N  0.2673  0.5346  0.1316  1 V 1.80
N  0.2673  0.5346  0.3684  1 V 1.80
N  0.4231  0.8462  0.7500  2 V 2.08
N  0.5769  0.1538  0.2500  2 V 2.08
Sm  0.6307  0.2615  0.4573  6 N 2.37-2.59
Sm  0.3693  0.7385  0.5427  6 N 2.37-2.59
Sm  0.6307  0.2615  0.0427  6 N 2.37-2.59
Sm  0.3693  0.7385  0.9573  6 N 2.37-2.59
Pm  0.9149  0.8297  0.2500  6 N 2.58-2.84
Pm  0.0851  0.1703  0.7500  6 N 2.58-2.84

**Crystal system**: orthorhombic
**Space-group type**: Cmcm
**Formation energy without anion corrections**: -1.2306 eV/atom

***

Record 2
The following is a PBE calculation of PrGdTmMg after structural relaxation, from the Alexandria database.

a = 5.5616 Å, b = 5.5616 Å, c = 5.5616 Å
α = 60.00°, β = 60.00°, γ = 60.00°
Last column: nearest neighbours and their distance in Å.
Positions (direct):
Pr  0.7500  0.7500  0.7500  4 Mg 3.41, 4 Tm 3.41
Tm  0.5000  0.5000  0.5000  4 Gd 3.41, 4 Pr 3.41
Gd  0.2500  0.2500  0.2500  4 Mg 3.41, 4 Tm 3.41
Mg  0.0000  0.0000  0.0000  4 Pr 3.41, 4 Gd 3.41

**Crystal system**: cubic
**ΔH_f (0 K)**: 13.4 meV per atom
**Space-group type**: F-43m

***

Record 3
The following is a PBE calculation of Hf4ZrBi2 after structural relaxation, from the Alexandria database.

a = 8.3247 Å, b = 5.8617 Å, c = 8.8085 Å
α = 90.00°, β = 126.82°, γ = 90.00°
Last column: nearest neighbours and their distance in Å.
Positions (direct):
Hf  0.1688  0.7500  0.8831  3 Bi 2.95-3.05, 5 Hf 3.01-3.23, 1 Zr 3.28
Hf  0.8312  0.2500  0.1169  3 Bi 2.95-3.05, 5 Hf 3.01-3.23, 1 Zr 3.28
Hf  0.4161  0.4986  0.7920  6 Hf 2.91-3.23, 2 Bi 3.04-3.09
Hf  0.5839  0.5014  0.2080  6 Hf 2.91-3.23, 2 Bi 3.04-3.09
Hf  0.0328  0.7500  0.4590  1 Zr 3.06, 7 Hf 3.12-3.33, 2 Bi 3.17-3.20
Hf  0.9672  0.2500  0.5410  1 Zr 3.06, 7 Hf 3.12-3.33, 2 Bi 3.17-3.20
Hf  0.4161  0.0014  0.7920  6 Hf 2.91-3.23, 2 Bi 3.04-3.09
Hf  0.5839  0.9986  0.2080  6 Hf 2.91-3.23, 2 Bi 3.04-3.09
Bi  0.8229  0.7500  0.0171  5 Hf 3.05-3.17, 1 Zr 3.08
Bi  0.7346  0.7500  0.5744  4 Hf 2.95-3.20, 3 Zr 3.01-3.13
Bi  0.1771  0.2500  0.9829  5 Hf 3.05-3.17, 1 Zr 3.08
Bi  0.2654  0.2500  0.4256  4 Hf 2.95-3.20, 3 Zr 3.01-3.13
Zr  0.7164  0.2500  0.6895  4 Bi 3.01-3.13, 2 Hf 3.06-3.28
Zr  0.2836  0.7500  0.3105  4 Bi 3.01-3.13, 2 Hf 3.06-3.28

**Crystal system**: monoclinic
**ΔH_f (0 K)**: 25.5 meV per atom
**Space-group type**: P2_1/m

***

Volume per entry: 15.36 30.41 24.58 A^3/atom
VASP energy per entry: -8.307 -6.218 -7.992 eV/atom